VASP calculation (PBE) on a relaxed structure of Be2InNi.

Values from the calculation:
The calculation puts the density of states at the Fermi level at 2.599 states/eV/f.u. As for the energy relative to the lowest polymorph listed for this composition: 298 meV per atom. As for the space-group type: I4_1/amd, No. 141.

abc: 8.0213 8.0213 8.0213
angles: 151.00 151.00 41.48
Last column: nearest neighbours and their distance in Å.
Element x y z (fractional)
Be: 0.0000 0.0000 0.0000  2 Be 2.01, 2 Ni 2.13
Be: 0.0000 0.0000 0.5000  2 Be 2.01, 2 Ni 2.13
Be: 0.0000 0.5000 0.0000  2 Be 2.01, 2 Ni 2.13
Be: 0.5000 0.0000 0.5000  2 Be 2.01, 2 Ni 2.13
In: 0.3750 0.6250 0.7500  4 Ni 2.84, 8 Be 2.93
In: 0.6250 0.3750 0.2500  4 Ni 2.84, 8 Be 2.93
Ni: 0.1250 0.8750 0.2500  4 Be 2.13
Ni: 0.8750 0.1250 0.7500  4 Be 2.13